1.
Ac5GePb4 | GGA-PBE | relaxed

```
Ac5GePb4
1.0
-5.3790 5.3790 3.4044
5.3790 -5.3790 3.4044
5.3790 5.3790 -3.4044
Ac Ge Pb
5 1 4
direct
0.0000 0.0000 0.0000 Ac
0.2214 0.5982 0.8211 Ac
0.4002 0.2214 0.6231 Ac
0.5982 0.7771 0.3769 Ac
0.7771 0.4002 0.1789 Ac
0.5005 0.5005 0.0000 Ge
0.0846 0.3084 0.3947 Pb
0.3084 0.9137 0.2238 Pb
0.6899 0.0846 0.7762 Pb
0.9137 0.6899 0.6053 Pb
```

Output
Symmetry: No. 79

2.
Ac2GePb | GGA-PBE | relaxed

```
Ac2GePb
1.0
6.6254 0.0000 0.0000
0.0000 4.4795 0.0000
-2.8515 0.0000 9.1609
Ac Ge Pb
4 2 2
direct
0.1902 0.2500 0.4202 Ac
0.2786 0.7500 0.0588 Ac
0.7214 0.2500 0.9412 Ac
0.8098 0.7500 0.5798 Ac
0.1188 0.2500 0.7942 Ge
0.8812 0.7500 0.2058 Ge
0.3752 0.7500 0.7095 Pb
0.6248 0.2500 0.2905 Pb
```

Output
Symmetry: No. 11

These records have energy of formation values of -411, -229 kJ/mol of formula units, in the order they appear.